LiCuNi2O4 after structural relaxation, computed with GGA+U.

Unit cell a=5.6855 b=5.6855 c=6.1179 alpha=117.08 beta=117.08 gamma=90.34
Closest atoms and distances in Å follow each position.
Positions (direct):
Ni  0.5000  0.5000  0.0000  6 O 2.00-2.16
O  0.7479  0.2150  0.9594  1 Cu 1.89, 1 Li 2.01, 1 Ni 2.03
Ni  0.5000  0.0000  0.5000  6 O 2.03-2.15
Ni  0.5000  0.0000  0.0000  6 O 2.03-2.15
Cu  0.5000  0.5000  0.5000  4 O 1.89-1.91
O  0.3007  0.3027  0.5730  1 Cu 1.91, 2 Ni 2.00-2.06, 1 Li 2.04
Ni  0.0000  0.0000  0.5000  6 O 2.00-2.16
O  0.2850  0.7521  0.5406  1 Cu 1.89, 1 Li 2.01, 1 Ni 2.03
O  0.1973  0.1993  0.9270  1 Cu 1.91, 2 Ni 2.00-2.06, 1 Li 2.04
Cu  0.0000  0.0000  0.0000  4 O 1.89-1.91
O  0.6993  0.6973  0.4270  1 Cu 1.91, 2 Ni 2.00-2.06, 1 Li 2.04
O  0.8027  0.8007  0.0730  1 Cu 1.91, 2 Ni 2.00-2.06, 1 Li 2.04
Li  0.0000  0.5000  0.5000  4 O 2.01-2.04
O  0.7150  0.2479  0.4594  1 Cu 1.89, 1 Li 2.01, 1 Ni 2.03
O  0.2521  0.7850  0.0406  1 Cu 1.89, 1 Li 2.01, 1 Ni 2.03
Li  0.0000  0.5000  0.0000  4 O 2.01-2.04

Summary:
**Raw total energy**: -4.916 eV per atom
**Total magnetic moment**: 7.6 μB per cell
**Calculated volume**: 151 Å³/cell